1.
The following is a PBE calculation of a relaxed structure of Er2ScPa, from the Alexandria database.

abc: 3.324 3.324 9.930
angles: 90.00 90.00 90.00
Sites, in units of the cell vectors:
Pa 0.500 0.500 0.000
Er 0.000 0.000 0.246
Er 0.000 0.000 0.754
Sc 0.500 0.500 0.500

Output
The value obtained for the energy relative to the elements is 130 meV per atom. The calculated density comes out at 9241 kg/m3. Its volume is 27.43 Å³/atom. Its crystal system is tetragonal.

=====

2.
The following is a PBE calculation of a relaxed structure of La5NdDy2Th, from the Alexandria database.

abc: 5.535 11.318 10.675
angles: 90.00 90.00 104.15
Sites, in units of the cell vectors:
La 0.627 0.254 0.508
La 0.500 0.000 0.258
La 0.373 0.746 0.008
La 0.500 0.000 0.758
La 0.724 0.447 0.816
La 0.277 0.553 0.700
La 0.003 0.007 0.508
La 0.997 0.993 0.008
La 0.276 0.553 0.316
La 0.723 0.447 0.200
Dy 0.887 0.774 0.266
Dy 0.113 0.226 0.250
Dy 0.113 0.226 0.766
Dy 0.887 0.774 0.750
Nd 0.601 0.203 0.008
Nd 0.399 0.797 0.508
Th 0.785 0.570 0.508
Th 0.215 0.430 0.008

Output
The value obtained for the energy relative to the elements is 130 meV per atom. The calculated density comes out at 7149 kg/m3. Its volume is 36.02 Å³/atom. Its crystal system is orthorhombic.

=====

3.
The following is a PBE calculation of a relaxed structure of Mg3Ir2, from the Alexandria database.

abc: 11.341 11.341 11.341
angles: 14.83 14.83 14.83
Sites, in units of the cell vectors:
Mg 0.793 0.793 0.793
Mg 0.000 0.000 0.000
Mg 0.207 0.207 0.207
Ir 0.397 0.397 0.397
Ir 0.603 0.603 0.603

Output
The value obtained for the energy relative to the elements is -147 meV per atom. The calculated density comes out at 9131 kg/m3. Its volume is 16.64 Å³/atom. Its crystal system is trigonal.

=====

4.
The following is a PBE calculation of a relaxed structure of K3RbP2S6, from the Alexandria database.

abc: 7.140 7.140 9.945
angles: 90.00 90.00 120.00
Sites, in units of the cell vectors:
K 0.667 0.333 0.210
K 0.333 0.667 0.790
K 0.000 0.000 0.000
S 0.174 0.826 0.236
S 0.174 0.348 0.236
S 0.348 0.174 0.764
S 0.652 0.826 0.236
S 0.826 0.174 0.764
S 0.826 0.652 0.764
P 0.333 0.667 0.187
P 0.667 0.333 0.813
Rb 0.000 0.000 0.500

Output
The calculated density comes out at 1729 kg/m3. Its volume is 36.59 Å³/atom. The calculation puts the uncorrected formation energy at -762 meV per atom. Its crystal system is trigonal.